# Ho3Sn3Ru | Alexandria via LeMat-Bulk | GGA-PBE | optimized geometry
data_Ho3Sn3Ru
_chemical_formula_sum 'Ho12 Sn12 Ru4'
_cell_length_a 11.098
_cell_length_b 4.419
_cell_length_c 15.021
_cell_angle_alpha 90.00
_cell_angle_beta 108.65
_cell_angle_gamma 90.00
_symmetry_space_group_name_H-M 'C 1 2/m 1'
_symmetry_Int_Tables_number 12
loop_
_symmetry_equiv_pos_as_xyz
'x,y,z'
'-x,-y,-z'
'-x,y,-z'
'x,-y,z'
'x+1/2,y+1/2,z'
'-x+1/2,-y+1/2,-z'
'-x+1/2,y+1/2,-z'
'x+1/2,-y+1/2,z'
loop_
_atom_site_label
_atom_site_fract_x
_atom_site_fract_y
_atom_site_fract_z
Ho1 0.017 0.000 0.380
Ho2 0.101 0.000 0.923
Ho3 0.234 0.000 0.243
Sn1 0.017 0.500 0.233
Sn2 0.125 0.500 0.077
Sn3 0.149 0.500 0.534
Ru1 0.240 0.500 0.381
# E_form	-632	meV per atom
# N(E_F)	21.52	states/eV/cell
# magnetization	0.00	μB/f.u.

---

# BeAl4Rh5 | Alexandria via LeMat-Bulk | GGA-PBE | optimized geometry
data_BeAl4Rh5
_chemical_formula_sum 'Be1 Al4 Rh5'
_cell_length_a 2.963
_cell_length_b 2.963
_cell_length_c 14.804
_cell_angle_alpha 90.00
_cell_angle_beta 90.00
_cell_angle_gamma 90.00
_symmetry_space_group_name_H-M 'P 4/m m m'
_symmetry_Int_Tables_number 123
_symmetry_space_group_name_Hall '-P 4 2'
loop_
_atom_site_label
_atom_site_fract_x
_atom_site_fract_y
_atom_site_fract_z
Be1 0.000 0.000 0.000
Al1 0.000 0.000 0.189
Al2 0.000 0.000 0.397
Rh1 0.500 0.500 0.092
Rh2 0.500 0.500 0.296
Rh3 0.500 0.500 0.500
# E_form	-1021	meV per atom
# N(E_F)	1.53	states/eV/cell
# magnetization	0.00	μB/f.u.

---

# TlTeCl4 | Alexandria via LeMat-Bulk | GGA-PBE | optimized geometry
data_TlTeCl4
_chemical_formula_sum 'Tl4 Te4 Cl16'
_cell_length_a 9.364
_cell_length_b 14.106
_cell_length_c 7.539
_cell_angle_alpha 90.00
_cell_angle_beta 125.89
_cell_angle_gamma 90.00
_symmetry_space_group_name_H-M 'C 1 2/c 1'
_symmetry_Int_Tables_number 15
loop_
_symmetry_equiv_pos_as_xyz
'x,y,z'
'-x,-y,-z'
'-x,y,-z+1/2'
'x,-y,z+1/2'
'x+1/2,y+1/2,z'
'-x+1/2,-y+1/2,-z'
'-x+1/2,y+1/2,-z+1/2'
'x+1/2,-y+1/2,z+1/2'
loop_
_atom_site_label
_atom_site_fract_x
_atom_site_fract_y
_atom_site_fract_z
Tl1 0.000 0.136 0.250
Te1 0.000 0.403 0.750
Cl1 0.154 0.273 0.683
Cl2 0.199 0.472 0.255
# excess energy over the best structure of this formula in the dataset	0.0	meV per atom
# N(E_F)	2.93	states/eV/cell
# magnetization	0.00	μB/f.u.

---

# Tb2Cd2Ga | Alexandria via LeMat-Bulk | GGA-PBE | optimized geometry
data_Tb2Cd2Ga
_chemical_formula_sum 'Tb4 Cd4 Ga2'
_cell_length_a 4.679
_cell_length_b 15.109
_cell_length_c 3.402
_cell_angle_alpha 90.00
_cell_angle_beta 90.00
_cell_angle_gamma 90.00
_symmetry_space_group_name_H-M 'C m m m'
_symmetry_Int_Tables_number 65
_symmetry_space_group_name_Hall '-C 2 2'
loop_
_atom_site_label
_atom_site_fract_x
_atom_site_fract_y
_atom_site_fract_z
Tb1 0.000 0.107 0.000
Cd1 0.000 0.302 0.500
Ga1 0.000 0.500 0.500
# E_form	-329	meV per atom
# N(E_F)	9.46	states/eV/cell
# magnetization	0.00	μB/f.u.

---

# Pr3SmMg4 | Alexandria via LeMat-Bulk | GGA-PBE | optimized geometry
data_Pr3SmMg4
_chemical_formula_sum 'Pr3 Sm1 Mg4'
_cell_length_a 3.911
_cell_length_b 5.500
_cell_length_c 11.003
_cell_angle_alpha 90.00
_cell_angle_beta 90.00
_cell_angle_gamma 90.00
_symmetry_space_group_name_H-M 'P m m m'
_symmetry_Int_Tables_number 47
loop_
_symmetry_equiv_pos_as_xyz
'x,y,z'
'-x,-y,-z'
'-x,-y,z'
'x,y,-z'
'x,-y,-z'
'-x,y,z'
'-x,y,-z'
'x,-y,z'
loop_
_atom_site_label
_atom_site_fract_x
_atom_site_fract_y
_atom_site_fract_z
Pr1 0.000 0.000 0.000
Pr2 0.000 0.500 0.251
Sm1 0.000 0.000 0.500
Mg1 0.500 0.000 0.252
Mg2 0.500 0.500 0.000
Mg3 0.500 0.500 0.500
# E_form	-114	meV per atom
# N(E_F)	8.36	states/eV/cell
# magnetization	0.00	μB/f.u.

---

# SrSmAgBr6 | Alexandria via LeMat-Bulk | GGA-PBE | optimized geometry
data_SrSmAgBr6
_chemical_formula_sum 'Sr2 Sm2 Ag2 Br12'
_cell_length_a 7.3027
_cell_length_b 7.3027
_cell_length_c 13.6725
_cell_angle_alpha 90.00
_cell_angle_beta 90.00
_cell_angle_gamma 120.00
_symmetry_space_group_name_H-M 'P -3 1 c'
_symmetry_Int_Tables_number 163
_symmetry_space_group_name_Hall '-P 3 2c'
loop_
_atom_site_label
_atom_site_fract_x
_atom_site_fract_y
_atom_site_fract_z
Sr1 0.0000 0.0000 0.0000
Sm1 0.3333 0.6667 0.2500
Ag1 0.3333 0.6667 0.7500
Br1 0.0048 0.3507 0.1290
# N(E_F)	0.00	states/eV/cell
# magnetization	0.00	μB/f.u.
# final energy	-3.73	eV/atom

---

# BaTe2Au | Alexandria via LeMat-Bulk | GGA-PBE | optimized geometry
data_BaTe2Au
_chemical_formula_sum 'Ba3 Te6 Au3'
_cell_length_a 4.2365
_cell_length_b 4.2365
_cell_length_c 29.3712
_cell_angle_alpha 90.00
_cell_angle_beta 90.00
_cell_angle_gamma 120.00
_symmetry_space_group_name_H-M 'R -3 m'
_symmetry_Int_Tables_number 166
_symmetry_space_group_name_Hall '-R 3 2"'
loop_
_atom_site_label
_atom_site_fract_x
_atom_site_fract_y
_atom_site_fract_z
Ba1 0.0000 0.0000 0.0000
Te1 0.0000 0.0000 0.1156
Au1 0.0000 0.0000 0.5000
# excess energy over the best structure of this formula in the dataset	712.2	meV per atom
# N(E_F)	10.79	states/eV/cell
# magnetization	0.56	μB/f.u.

---

> Look up the N(E_F) of the fifth one.

8.36 states/eV/cell

---

> Which formula does entry 7 have?

BaTe2Au

---

Please write out number 1 again, unchanged.
# Ho3Sn3Ru | Alexandria via LeMat-Bulk | GGA-PBE | optimized geometry
data_Ho3Sn3Ru
_chemical_formula_sum 'Ho12 Sn12 Ru4'
_cell_length_a 11.098
_cell_length_b 4.419
_cell_length_c 15.021
_cell_angle_alpha 90.00
_cell_angle_beta 108.65
_cell_angle_gamma 90.00
_symmetry_space_group_name_H-M 'C 1 2/m 1'
_symmetry_Int_Tables_number 12
loop_
_symmetry_equiv_pos_as_xyz
'x,y,z'
'-x,-y,-z'
'-x,y,-z'
'x,-y,z'
'x+1/2,y+1/2,z'
'-x+1/2,-y+1/2,-z'
'-x+1/2,y+1/2,-z'
'x+1/2,-y+1/2,z'
loop_
_atom_site_label
_atom_site_fract_x
_atom_site_fract_y
_atom_site_fract_z
Ho1 0.017 0.000 0.380
Ho2 0.101 0.000 0.923
Ho3 0.234 0.000 0.243
Sn1 0.017 0.500 0.233
Sn2 0.125 0.500 0.077
Sn3 0.149 0.500 0.534
Ru1 0.240 0.500 0.381
# E_form	-632	meV per atom
# N(E_F)	21.52	states/eV/cell
# magnetization	0.00	μB/f.u.

---

> Which of these has the lowest N(E_F)?

SrSmAgBr6